1.
Material: Sc3AuO
Method: DFT, PBE-GGA
State: optimized geometry

Computed properties:
* ρ: 4.37 g cm⁻³
* total DFT energy (no corrections): -31.478 eV/cell
* formation energy without anion corrections: -4.25 eV/f.u.
* volume: 26.42 A^3/atom
* space-group type: Amm2 (38)

a = 3.150 Å, b = 7.458 Å, c = 7.458 Å
α = 48.95°, β = 90.00°, γ = 90.00°
Fractional positions:
Sc (0.000, 0.000, 0.000)
Sc (0.500, 0.063, 0.592)
Sc (0.500, 0.592, 0.063)
Au (0.500, 0.166, 0.166)
O (0.000, 0.823, 0.823)


2.
Material: Tb8Y6Cd
Method: DFT, PBE-GGA
State: optimized geometry

Computed properties:
* ρ: 6.60 g cm⁻³
* total DFT energy (no corrections): -75.318 eV/cell
* volume: 32.15 A^3/atom
* space-group type: P-3 (147)
* formation energy: 95 meV/atom

a = 9.396 Å, b = 9.396 Å, c = 6.307 Å
α = 90.00°, β = 90.00°, γ = 120.00°
Fractional positions:
Tb (0.041, 0.776, 0.189)
Tb (0.224, 0.265, 0.189)
Tb (0.265, 0.041, 0.811)
Tb (0.333, 0.667, 0.187)
Tb (0.667, 0.333, 0.813)
Tb (0.735, 0.959, 0.189)
Tb (0.776, 0.735, 0.811)
Tb (0.959, 0.224, 0.811)
Y (0.093, 0.639, 0.685)
Y (0.361, 0.454, 0.685)
Y (0.454, 0.093, 0.315)
Y (0.546, 0.907, 0.685)
Y (0.639, 0.546, 0.315)
Y (0.907, 0.361, 0.315)
Cd (0.000, 0.000, 0.500)


Look up the total DFT energy (no corrections) of the second one.
-75.318 eV/cell


The lowest volume belongs to which entry?
Sc3AuO